## P
Below is crystalline YHfTi2 at its relaxed geometry, with properties calculated at the PBE level.

## Properties
SG   No. 122

Lattice parameters (Å, degrees): 7.686 7.686 6.220 51.85 51.85 90.00
Site moments in Bohr magnetons follow the coordinates.
Element x y z (fractional)
Y (0.500, 0.500, 0.000)  0.04
Y (0.250, 0.750, 0.500)  0.04
Ti (0.875, 0.887, 0.750)  0.48
Ti (0.375, 0.363, 0.750)  0.48
Ti (0.637, 0.125, 0.250)  0.48
Ti (0.113, 0.625, 0.250)  0.48
Hf (0.000, 0.000, 0.000)  0.12
Hf (0.750, 0.250, 0.500)  0.12

***

## Q
Below is crystalline YHfTi2 at its relaxed geometry, with properties calculated at the PBE level.

## Properties
SG   No. 123

Lattice parameters (Å, degrees): 3.603 3.603 6.791 90.00 90.00 90.00
Element x y z (fractional)
Ti (0.000, 0.000, 0.202)
Ti (0.000, 0.000, 0.798)
Hf (0.500, 0.500, 0.000)
Y (0.500, 0.500, 0.500)

***

Which of them is the most stable, and which is the least stable? Q and P, in that order.

***

## P
Below is crystalline Hf3TiZn at its relaxed geometry, with properties calculated at the PBE level.

## Properties
SG   No. 221

Lattice parameters (Å, degrees): 4.901 4.901 4.901 90.00 90.00 90.00
Element x y z (fractional)
Hf (0.000, 0.000, 0.500)
Hf (0.000, 0.500, 0.000)
Hf (0.500, 0.000, 0.000)
Ti (0.000, 0.000, 0.000)
Zn (0.500, 0.500, 0.500)

***

## Q
Below is crystalline Hf3TiZn at its relaxed geometry, with properties calculated at the PBE level.

## Properties
SG   No. 221

Lattice parameters (Å, degrees): 4.905 4.905 4.905 90.00 90.00 90.00
Element x y z (fractional)
Hf (0.500, 0.000, 0.000)
Hf (0.000, 0.000, 0.500)
Hf (0.000, 0.500, 0.000)
Ti (0.500, 0.500, 0.500)
Zn (0.000, 0.000, 0.000)

***

Which of them is the most stable, and which is the least stable? Q and P, in that order.